Record 1
First-principles (PBE-GGA) data for crystalline MgSbP2N6 at its relaxed geometry, as listed in Alexandria.

Unit cell a=5.376 b=6.803 c=6.803 alpha=83.63 beta=74.46 gamma=74.46
Fractional coordinates of all 20 atoms:
Mg 0.750 0.093 0.907
P 0.182 0.372 0.206
N 0.349 0.295 0.388
Sb 0.250 0.269 0.731
Mg 0.250 0.907 0.093
N 0.654 0.163 0.617
N 0.172 0.979 0.780
N 0.846 0.383 0.837
N 0.651 0.705 0.612
P 0.818 0.628 0.794
N 0.346 0.837 0.383
Sb 0.750 0.731 0.269
P 0.682 0.206 0.372
N 0.328 0.220 0.021
N 0.151 0.612 0.705
N 0.154 0.617 0.163
N 0.849 0.388 0.295
N 0.672 0.780 0.979
P 0.318 0.794 0.628
N 0.828 0.021 0.220

Calculated values
Its symmetry is C2/c (15). For the total energy, the calculation gives -6.783 eV/atom.

---

Record 2
First-principles (PBE-GGA) data for crystalline TbMgAs2 at its relaxed geometry, as listed in Alexandria.

Unit cell a=4.119 b=4.119 c=6.804 alpha=72.38 beta=72.38 gamma=60.00
Fractional coordinates of all 4 atoms:
As 0.254 0.254 0.239
As 0.746 0.746 0.761
Tb 0.500 0.500 0.500
Mg 0.000 0.000 0.000

Calculated values
Its formation energy is -849 meV per atom. Its symmetry is R-3m (166). The value obtained for the offset from the most stable computed form is 6 meV/atom.

---

no.,magnetization (μB per formula unit)
1,0.00
2,0.00